Record 1
Li2MnFe, PBEsol geometry, DFT meta-GGA SCAN; D(E_F) = 2.86 states/eV per cell; ρ = 4.6 g/cm3; total moment = 0.90 μB/cell; distance to the lowest polymorph of the same formula = 0.1418 eV per atom; calculated formation energy = 1.7 eV/f.u.
1.0
2.293 0.000 0.000
0.000 4.349 0.000
0.000 0.000 4.470
Li Mn Fe
2 1 1
Direct
0.000 0.000 0.250
0.000 0.000 0.750
0.500 0.500 0.000
0.500 0.500 0.500

***

Record 2
LiMn4Fe, PBEsol geometry, DFT meta-GGA SCAN; D(E_F) = 6.39 states/eV per cell; ρ = 7.0 g/cm3; total moment = 3.03 μB/cell; calculated formation energy = 2.5 eV/f.u.
1.0
0.000 3.219 3.219
3.219 0.000 3.219
3.219 3.219 0.000
Li Mn Fe
1 4 1
Direct
0.000 0.000 0.000
0.375 0.375 0.375
0.375 0.375 0.875
0.375 0.875 0.375
0.875 0.375 0.375
0.750 0.750 0.750

***

Record 3
Li2MnFe, PBEsol geometry, DFT meta-GGA SCAN; D(E_F) = 2.53 states/eV per cell; ρ = 4.6 g/cm3; total moment = 0.90 μB/cell; distance to the lowest polymorph of the same formula = 0.0335 eV per atom; calculated formation energy = 1.3 eV/f.u.
1.0
0.000 2.818 2.818
2.818 0.000 2.818
2.818 2.818 0.000
Li Mn Fe
2 1 1
Direct
0.000 0.000 0.000
0.250 0.250 0.250
0.750 0.750 0.750
0.500 0.500 0.500

***

Record 4
Li2MnFe, PBEsol geometry, DFT meta-GGA SCAN; D(E_F) = 2.40 states/eV per cell; ρ = 4.3 g/cm3; total moment = 1.14 μB/cell; distance to the lowest polymorph of the same formula = 0.0000 eV per atom; calculated formation energy = 1.2 eV/f.u.
1.0
2.434 0.000 0.000
0.000 3.515 0.000
0.000 0.000 5.662
Li Mn Fe
2 1 1
Direct
0.000 0.000 0.000
0.500 0.500 0.268
0.000 0.000 0.561
0.500 0.500 0.711

***

Record 5
Li4Mn3Fe3Ni2O16, PBEsol geometry, DFT meta-GGA SCAN; D(E_F) = 1.64 states/eV per cell; ρ = 4.8 g/cm3; formation energy from raw total energies = -1895 meV per atom; total moment = 11.00 μB/cell
1.0
4.828 -2.786 0.000
4.828 2.786 0.000
-0.099 0.000 9.340
Li Mn Fe Ni O
4 3 3 2 16
Direct
0.000 0.000 0.000
0.001 0.001 0.497
0.342 0.342 0.899
0.678 0.678 0.400
0.174 0.174 0.215
0.344 0.839 0.716
0.839 0.344 0.716
0.185 0.661 0.215
0.661 0.185 0.215
0.837 0.837 0.715
0.339 0.339 0.490
0.674 0.674 0.991
0.005 0.005 0.311
0.007 0.007 0.815
0.048 0.489 0.337
0.165 0.165 0.603
0.165 0.680 0.605
0.330 0.841 0.104
0.337 0.337 0.106
0.489 0.048 0.337
0.492 0.492 0.337
0.526 0.526 0.837
0.528 0.972 0.835
0.671 0.671 0.608
0.680 0.165 0.605
0.841 0.330 0.104
0.844 0.844 0.111
0.972 0.528 0.835

***

Record 6
Li4Mn3Fe2Ni3O16, PBEsol geometry, DFT meta-GGA SCAN; D(E_F) = 2.80 states/eV per cell; ρ = 4.8 g/cm3; formation energy from raw total energies = -1831 meV per atom; total moment = 3.05 μB/cell
1.0
4.844 -2.839 0.000
4.844 2.839 0.000
-0.020 0.000 9.202
Li Mn Fe Ni O
4 3 2 3 16
Direct
0.000 0.000 0.000
0.011 0.011 0.494
0.334 0.334 0.099
0.672 0.672 0.596
0.169 0.663 0.777
0.663 0.169 0.777
0.835 0.835 0.281
0.341 0.341 0.500
0.658 0.658 0.003
0.171 0.171 0.775
0.347 0.835 0.285
0.835 0.347 0.285
0.002 0.002 0.682
0.009 0.009 0.192
0.048 0.487 0.646
0.171 0.674 0.399
0.180 0.180 0.405
0.326 0.832 0.890
0.335 0.335 0.883
0.483 0.483 0.653
0.487 0.048 0.646
0.523 0.523 0.150
0.530 0.968 0.160
0.672 0.672 0.388
0.674 0.171 0.399
0.832 0.326 0.890
0.834 0.834 0.885
0.968 0.530 0.160

***

Record 7
Li2MnFe3O8, PBEsol geometry, DFT meta-GGA SCAN; D(E_F) = 2.43 states/eV per cell; ρ = 4.8 g/cm3; formation energy from raw total energies = -1922 meV per atom; total moment = 7.00 μB/cell; distance to the lowest polymorph of the same formula = 0.0010 eV per atom
1.0
2.812 1.623 4.628
-2.812 1.623 4.628
0.000 -3.247 4.628
Li Mn Fe O
2 1 3 8
Direct
0.126 0.126 0.126
0.874 0.874 0.874
0.500 0.500 0.500
0.000 0.500 0.500
0.500 0.000 0.500
0.500 0.500 0.000
0.262 0.262 0.713
0.262 0.713 0.262
0.263 0.263 0.263
0.287 0.738 0.738
0.713 0.262 0.262
0.737 0.737 0.737
0.738 0.287 0.738
0.738 0.738 0.287

***

Record 8
Li6MnFe2O6, PBEsol geometry, DFT meta-GGA SCAN; D(E_F) = 2.76 states/eV per cell; ρ = 3.7 g/cm3; formation energy from raw total energies = -1808 meV per atom; total moment = 12.49 μB/cell
1.0
6.356 -1.462 0.000
6.356 1.462 0.000
-1.477 0.000 7.322
Li Mn Fe O
6 1 2 6
Direct
0.000 0.000 0.000
0.013 0.013 0.673
0.365 0.365 0.604
0.385 0.385 0.255
0.661 0.661 0.003
0.727 0.727 0.315
0.058 0.058 0.356
0.310 0.310 0.916
0.705 0.705 0.680
0.143 0.143 0.836
0.220 0.220 0.477
0.493 0.493 0.492
0.562 0.562 0.166
0.813 0.813 0.125
0.885 0.885 0.782

***

Record 9
Li2MnFe3O8, PBEsol geometry, DFT meta-GGA SCAN; D(E_F) = 7.37 states/eV per cell; ρ = 4.8 g/cm3; formation energy from raw total energies = -1923 meV per atom; total moment = 28.00 μB/cell; distance to the lowest polymorph of the same formula = 0.0000 eV per atom
1.0
7.974 0.000 0.000
0.000 7.974 0.000
0.000 0.000 7.974
Li Mn Fe O
8 4 12 32
Direct
0.000 0.000 0.000
0.000 0.500 0.500
0.250 0.250 0.250
0.250 0.750 0.750
0.500 0.000 0.500
0.500 0.500 0.000
0.750 0.250 0.750
0.750 0.750 0.250
0.125 0.875 0.375
0.375 0.125 0.875
0.625 0.625 0.625
0.875 0.375 0.125
0.123 0.127 0.625
0.125 0.377 0.873
0.127 0.625 0.123
0.373 0.375 0.623
0.375 0.623 0.373
0.377 0.873 0.125
0.623 0.373 0.375
0.625 0.123 0.127
0.627 0.875 0.877
0.873 0.125 0.377
0.875 0.877 0.627
0.877 0.627 0.875
0.112 0.113 0.388
0.112 0.888 0.613
0.113 0.388 0.112
0.113 0.613 0.887
0.137 0.138 0.862
0.137 0.363 0.637
0.138 0.637 0.362
0.138 0.862 0.137
0.362 0.138 0.637
0.362 0.363 0.862
0.363 0.637 0.137
0.363 0.862 0.362
0.387 0.387 0.387
0.387 0.612 0.612
0.388 0.112 0.113
0.388 0.887 0.888
0.612 0.387 0.612
0.612 0.612 0.387
0.613 0.112 0.888
0.613 0.887 0.113
0.637 0.137 0.363
0.637 0.362 0.138
0.638 0.638 0.863
0.638 0.863 0.638
0.862 0.137 0.138
0.862 0.362 0.363
0.863 0.638 0.638
0.863 0.863 0.863
0.887 0.113 0.613
0.887 0.888 0.388
0.888 0.388 0.887
0.888 0.613 0.112

***

Record 10
Li2MnFe3O8, PBEsol geometry, DFT meta-GGA SCAN; D(E_F) = 1.60 states/eV per cell; ρ = 5.0 g/cm3; formation energy from raw total energies = -1868 meV per atom; total moment = 14.00 μB/cell; distance to the lowest polymorph of the same formula = 0.0546 eV per atom
1.0
5.533 0.000 0.000
-2.766 4.792 0.000
0.000 0.000 9.180
Li Mn Fe O
4 2 6 16
Direct
0.000 0.000 0.000
0.000 0.000 0.500
0.333 0.667 0.102
0.667 0.333 0.602
0.333 0.667 0.507
0.667 0.333 0.007
0.175 0.350 0.782
0.175 0.825 0.782
0.350 0.175 0.282
0.650 0.825 0.782
0.825 0.175 0.282
0.825 0.650 0.282
0.000 0.000 0.191
0.000 0.000 0.691
0.038 0.519 0.652
0.167 0.334 0.395
0.167 0.833 0.395
0.333 0.667 0.897
0.334 0.167 0.895
0.481 0.519 0.652
0.481 0.962 0.652
0.519 0.038 0.152
0.519 0.481 0.152
0.666 0.833 0.395
0.667 0.333 0.397
0.833 0.167 0.895
0.833 0.666 0.895
0.962 0.481 0.152

***

Record 11
Li2MnFe3O8, PBEsol geometry, DFT meta-GGA SCAN; D(E_F) = 3.54 states/eV per cell; ρ = 4.7 g/cm3; formation energy from raw total energies = -1848 meV per atom; total moment = 7.00 μB/cell; distance to the lowest polymorph of the same formula = 0.0746 eV per atom
1.0
4.745 -2.785 0.000
4.745 2.785 0.000
-3.107 0.000 4.871
Li Mn Fe O
2 1 3 8
Direct
0.000 0.500 0.000
0.500 0.000 0.000
0.000 0.000 0.500
0.000 0.500 0.500
0.500 0.000 0.500
0.500 0.500 0.500
0.236 0.236 0.714
0.238 0.736 0.708
0.264 0.264 0.287
0.264 0.762 0.292
0.736 0.238 0.708
0.736 0.736 0.713
0.762 0.264 0.292
0.764 0.764 0.286

***

Record 12
Li2MnFeP2O8, PBEsol geometry, DFT meta-GGA SCAN; ρ = 3.6 g/cm3; formation energy from raw total energies = -2388 meV per atom; total moment = 18.00 μB/cell
1.0
6.016 0.000 0.000
0.000 4.691 0.000
0.000 0.000 10.313
Li Mn Fe P O
4 2 2 4 16
Direct
0.248 0.246 0.000
0.248 0.754 0.500
0.752 0.246 0.000
0.752 0.754 0.500
0.500 0.274 0.718
0.500 0.726 0.218
0.000 0.224 0.281
0.000 0.776 0.781
0.000 0.336 0.592
0.000 0.664 0.092
0.500 0.175 0.406
0.500 0.825 0.906
0.000 0.009 0.596
0.000 0.459 0.453
0.000 0.541 0.953
0.000 0.991 0.096
0.204 0.474 0.663
0.204 0.526 0.163
0.295 0.043 0.334
0.295 0.957 0.834
0.500 0.042 0.544
0.500 0.499 0.906
0.500 0.501 0.406
0.500 0.958 0.044
0.705 0.043 0.334
0.705 0.957 0.834
0.796 0.474 0.663
0.796 0.526 0.163

***

Record 13
Li4Mn2Fe3Sb3O16, PBEsol geometry, DFT meta-GGA SCAN; D(E_F) = 5.33 states/eV per cell; ρ = 5.3 g/cm3; formation energy from raw total energies = -1792 meV per atom; total moment = 7.00 μB/cell
1.0
5.145 -2.981 0.000
5.145 2.981 0.000
-0.161 0.000 9.488
Li Mn Fe Sb O
4 2 3 3 16
Direct
0.000 0.000 0.000
0.229 0.229 0.099
0.553 0.553 0.564
0.908 0.908 0.458
0.215 0.215 0.454
0.541 0.541 0.975
0.055 0.055 0.746
0.228 0.717 0.248
0.717 0.228 0.248
0.051 0.550 0.753
0.550 0.051 0.753
0.721 0.721 0.244
0.050 0.050 0.344
0.057 0.576 0.360
0.202 0.739 0.859
0.212 0.212 0.865
0.362 0.921 0.631
0.372 0.372 0.629
0.390 0.854 0.125
0.408 0.408 0.138
0.555 0.555 0.354
0.576 0.057 0.360
0.721 0.721 0.866
0.739 0.202 0.859
0.854 0.390 0.125
0.891 0.891 0.645
0.893 0.893 0.148
0.921 0.362 0.631

***

Record 14
Li4Mn3Fe3Sb2O16, PBEsol geometry, DFT meta-GGA SCAN; D(E_F) = 3.00 states/eV per cell; ρ = 5.3 g/cm3; formation energy from raw total energies = -1898 meV per atom; total moment = 8.98 μB/cell
1.0
4.911 -2.836 0.000
4.911 2.836 0.000
-0.047 0.000 9.642
Li Mn Fe Sb O
4 3 3 2 16
Direct
0.000 0.000 0.000
0.002 0.002 0.503
0.332 0.332 0.594
0.665 0.665 0.094
0.169 0.656 0.279
0.656 0.169 0.279
0.826 0.826 0.778
0.175 0.175 0.279
0.349 0.822 0.778
0.822 0.349 0.778
0.330 0.330 0.999
0.664 0.664 0.502
0.000 0.000 0.186
0.029 0.486 0.161
0.156 0.156 0.890
0.157 0.682 0.890
0.315 0.843 0.392
0.337 0.337 0.388
0.483 0.483 0.161
0.486 0.029 0.161
0.514 0.968 0.658
0.515 0.515 0.660
0.668 0.668 0.890
0.682 0.157 0.890
0.840 0.840 0.394
0.843 0.315 0.392
0.968 0.514 0.658
0.999 0.999 0.688

***

Record 15
LiFeMo2, PBEsol geometry, DFT meta-GGA SCAN; D(E_F) = 2.48 states/eV per cell; ρ = 7.9 g/cm3; total moment = 2.10 μB/cell; distance to the lowest polymorph of the same formula = 0.0150 eV per atom; calculated formation energy = 1.3 eV/f.u.
1.0
2.538 0.000 0.000
0.000 4.240 0.000
-1.010 0.000 4.971
Li Fe Mo
1 1 2
Direct
0.000 0.000 0.000
0.500 0.000 0.500
0.235 0.500 0.746
0.765 0.500 0.254

***

Record 16
LiFeMo2, PBEsol geometry, DFT meta-GGA SCAN; D(E_F) = 3.15 states/eV per cell; ρ = 7.5 g/cm3; total moment = 1.06 μB/cell; distance to the lowest polymorph of the same formula = 0.1515 eV per atom; calculated formation energy = 1.8 eV/f.u.
1.0
2.603 0.000 0.000
0.000 2.603 0.000
0.000 0.000 8.296
Li Fe Mo
1 1 2
Direct
0.000 0.000 0.000
0.000 0.000 0.500
0.500 0.500 0.286
0.500 0.500 0.714